The following is a DFT calculation (GGA-PBE) of a relaxed structure of Dy8Tl2Co.

Values from the calculation:
The magnetic moment is 0.000 μB per atom. The calculation puts the formation energy at -1.57 eV per formula unit. As for the electronic total energy: -50.220 eV/f.u.

a b c (Å): 18.164 5.288 6.714
angles (deg): 90.00 108.80 90.00
Space group C2/m (No. 12)
Asymmetric unit:
Dy 0.017 0.000 0.240
Dy 0.089 0.500 0.753
Dy 0.145 0.500 0.311
Dy 0.206 0.000 0.095
Tl 0.172 0.000 0.613
Co 0.000 0.500 0.000

---

The following is a DFT calculation (GGA-PBE) of a relaxed structure of Dy2TlCo.

Values from the calculation:
The magnetic moment is 0.182 μB per atom. The calculation puts the formation energy at -0.45 eV per formula unit. As for the electronic total energy: -19.121 eV/f.u.

a b c (Å): 5.049 5.049 3.684
angles (deg): 90.00 90.00 90.00
Space group P4/mmm (No. 123)
Asymmetric unit:
Dy 0.000 0.500 0.000
Tl 0.000 0.000 0.500
Co 0.500 0.500 0.500